Entry from Alexandria: Rb2ZnReTe after structural relaxation (PBE-GGA).

E in eV per atom: -2.80
Space group: P4/mmm, No. 123
Spin magnetization in μB per formula unit: 3.94
Formation energy without anion corrections in eV per atom: 0.9592

a = 6.6383 Å, b = 6.6383 Å, c = 4.9393 Å
α = 90.00°, β = 90.00°, γ = 90.00°
Element x y z (fractional)
1 Rb 0.0000 0.5000 0.0000
2 Rb 0.5000 0.0000 0.0000
3 Zn 0.0000 0.0000 0.5000
4 Re 0.0000 0.0000 0.0000
5 Te 0.5000 0.5000 0.5000